{
  "formula": "Pm2ReMoO8",
  "functional": "GGA+U",
  "state": "relaxed",
  "crystal_system": "triclinic",
  "e_tot_ev_per_cell": -95.9,
  "n_ef_per_ev_cell": 0.4,
  "magnetic_moment_mub_per_cell": 1.01,
  "spacegroup": "P-1",
  "lattice_angstrom": [[4.8903, 0.0000, 0.0000], [-0.1921, 4.9235, 0.0000], [-0.0266, -0.0544, 6.8408]],
  "species": ["Pm", "Pm", "Re", "Mo", "O", "O", "O", "O", "O", "O", "O", "O"],
  "fractional_positions": [[0.0534, 0.0491, 0.2476], [0.9466, 0.9509, 0.7524], [0.5000, 0.5000, 0.5000], [0.5000, 0.5000, 0.0000], [0.2153, 0.2175, 0.9647], [0.2271, 0.2326, 0.5379], [0.2976, 0.6410, 0.2668], [0.3598, 0.7078, 0.7308], [0.6402, 0.2922, 0.2692], [0.7024, 0.3590, 0.7332], [0.7729, 0.7674, 0.4621], [0.7847, 0.7825, 0.0353]]
}